# K2RbSrCl

A geometry-optimized K2RbSrCl structure (GGA-PBE, Alexandria via LeMat-Bulk).

```
data_K2RbSrCl
_chemical_formula_sum 'K2 Rb1 Sr1 Cl1'
_cell_length_a 7.086
_cell_length_b 7.086
_cell_length_c 5.846
_cell_angle_alpha 90.00
_cell_angle_beta 90.00
_cell_angle_gamma 90.00
_symmetry_space_group_name_H-M 'P 4/m m m'
_symmetry_Int_Tables_number 123
_symmetry_space_group_name_Hall '-P 4 2'
loop_
_atom_site_label
_atom_site_fract_x
_atom_site_fract_y
_atom_site_fract_z
K1 0.000 0.500 0.000
Rb1 0.000 0.000 0.500
Sr1 0.500 0.500 0.500
Cl1 0.500 0.500 0.000
```

Summary:
polymorph energy (0 for the lowest one)	0.00	kJ/mol of atoms
density	1.6	g/cm3